Entry 1:
4
Lattice="3.011 3.851 2.001 -1.889 3.110 3.828 1.894 -0.412 4.913" Properties=species:S:1:pos:R:3 comment="CdICl2 | Alexandria | PBE-GGA | relaxed" total_magnetization_mub_per_cell=1.01 de_polymorph_mev_per_atom=813 pbc="T T T"
I 1.508 3.274 5.371
Cl 0.754 1.637 2.686
Cl 2.262 4.912 8.057
Cd 0.000 0.000 0.000

***

Entry 2:
4
Lattice="2.859 0.000 0.000 0.000 2.859 0.000 0.000 0.000 7.502" Properties=species:S:1:pos:R:3 comment="NpBePt2 | Alexandria | PBE-GGA | relaxed" total_magnetization_mub_per_cell=3.45 de_polymorph_mev_per_atom=0 formation_energy_ev_per_atom=-0.5495 pbc="T T T"
Np 1.430 1.430 3.751
Be 1.430 1.430 0.000
Pt 0.000 0.000 6.077
Pt 0.000 0.000 1.425

***

Entry 3:
6
Lattice="3.726 0.000 -1.056 -0.612 5.396 -2.159 0.114 -0.148 7.507" Properties=species:S:1:pos:R:3 comment="Y3Te2C | Alexandria | PBE-GGA | relaxed" total_magnetization_mub_per_cell=0.00 de_polymorph_mev_per_atom=7 pbc="T T T"
Y 1.267 1.933 4.471
Y 0.000 0.000 0.000
Y 1.962 3.316 -0.179
Te 2.463 0.916 1.591
Te 0.765 4.333 2.701
C -0.306 2.698 -1.080

***

Entry 4:
12
Lattice="-1.616 -6.220 0.216 1.965 -5.981 1.308 -3.135 -1.937 10.705" Properties=species:S:1:pos:R:3 comment="Tm4CrS7 | Alexandria | PBE-GGA | relaxed" total_magnetization_mub_per_cell=3.72 e_tot_ev_per_atom=-6.46 pbc="T T T"
Tm -0.456 -8.806 3.423
Tm -2.433 -5.222 9.123
Tm 0.328 -12.109 1.575
Tm -1.731 -2.545 6.232
Cr -1.016 -11.683 5.888
S -1.725 -10.412 7.936
S -1.016 -4.070 4.224
S -0.063 -4.117 1.108
S -2.737 -9.788 11.119
S -0.699 -0.790 2.464
S -2.118 -13.240 9.845
S -1.306 -7.178 5.853